1.
A plane-wave DFT calculation with GGA-PBE was carried out for crystalline ScMn2Cd at its relaxed geometry.

Output
The calculation puts the calculated formation energy at 0.158 eV per atom.

a b c (Å): 3.2361 4.6063 9.2437
angles (deg): 90.00 90.00 90.00
Closest atoms and distances in Å follow each position.
Space group Imm2 (No. 44)
Inequivalent atoms, fractional coordinates:
Sc: 0.0000 0.0000 0.0000 [2 per cell]  8 Mn 2.83-3.10, 4 Cd 3.05-3.08
Mn: 0.0000 0.0000 0.4659 [2 per cell]  2 Mn 2.39
Mn: 0.0000 0.5000 0.7759 [2 per cell]  2 Mn 2.39
Cd: 0.0000 0.5000 0.2209 [2 per cell]  6 Mn 2.86, 4 Sc 3.05-3.08



2.
A plane-wave DFT calculation with GGA-PBE was carried out for crystalline ScMn2Cd at its relaxed geometry.

Output
The calculation puts the calculated formation energy at 0.543 eV per atom.

a b c (Å): 7.3702 7.3702 5.7011
angles (deg): 90.00 90.00 90.00
Closest atoms and distances in Å follow each position.
Space group I-42d (No. 122)
Inequivalent atoms, fractional coordinates:
Sc: 0.0000 0.0000 0.0000 [4 per cell]  4 Mn 2.74, 2 Cd 2.85
Mn: 0.2415 0.2500 0.6250 [8 per cell]  2 Cd 2.66, 2 Sc 2.74, 2 Mn 2.85
Cd: 0.0000 0.0000 0.5000 [4 per cell]  4 Mn 2.66, 2 Sc 2.85



3.
A plane-wave DFT calculation with GGA-PBE was carried out for crystalline Sc3MnCd at its relaxed geometry.

Output
The calculation puts the excess energy over the best structure of this formula in the dataset at 0.000 eV per atom. The calculation puts the calculated formation energy at 0.139 eV per atom.

a b c (Å): 4.8515 4.8515 4.8515
angles (deg): 90.00 90.00 90.00
Closest atoms and distances in Å follow each position.
Space group Pm-3m (No. 221)
Inequivalent atoms, fractional coordinates:
Sc: 0.0000 0.0000 0.5000 [3 per cell]  2 Mn 2.43
Mn: 0.0000 0.0000 0.0000 [1 per cell]  6 Sc 2.43
Cd: 0.5000 0.5000 0.5000 [1 per cell]  12 Sc 3.43



Total magnetic moment? In order: 0.527, 6.465, 0.002 μB per formula unit.
Theoretical density? In order: 6.441, 5.732, 4.395 g/cm3.
E_tot? In order: -49.91, -93.66, -28.39 eV/cell.